First-principles (PBE) data for a geometry-optimized NaAlCd2O structure, as listed in Alexandria.

It has space group P4/mmm (No. 123), with a = 5.324 Å, b = 5.324 Å, c = 5.483 Å, α = 90.00°, β = 90.00° and γ = 90.00°. The asymmetric unit holds Na at (0.000, 0.000, 0.000), Al at (0.000, 0.000, 0.500), Cd at (0.000, 0.500, 0.000) and O at (0.500, 0.500, 0.500).

For the raw formation energy, the calculation gives 1.041 eV/atom. The total energy is -1.329 eV/atom.



First-principles (PBE) data for a geometry-optimized NaAlCd2P structure, as listed in Alexandria.

It has space group P4/mmm (No. 123), with a = 5.316 Å, b = 5.316 Å, c = 4.719 Å, α = 90.00°, β = 90.00° and γ = 90.00°. The asymmetric unit holds Na at (0.000, 0.000, 0.000), Al at (0.500, 0.500, 0.500), Cd at (0.000, 0.500, 0.500) and P at (0.500, 0.500, 0.000).

The total energy is -2.234 eV/atom. The formation enthalpy at 0 K comes out at 226 meV per atom.



First-principles (PBE) data for a geometry-optimized NaAlCdPb structure, as listed in Alexandria.

It has space group F-43m (No. 216), with a = 7.272 Å, b = 7.272 Å, c = 7.272 Å, α = 90.00°, β = 90.00° and γ = 90.00°. The asymmetric unit holds Na at (0.000, 0.000, 0.000), Al at (0.000, 0.000, 0.500), Cd at (0.250, 0.250, 0.750) and Pb at (0.250, 0.250, 0.250).

The total energy is -2.376 eV/atom. The formation enthalpy at 0 K comes out at 46 meV per atom.